# RuPt5

A geometry-optimized RuPt5 structure (GGA-PBE, Alexandria).

The structure belongs to space group P-62m (No. 189); the cell edges are 4.7858, 4.7858 and 4.6762 Å and the angles 90.00°, 90.00° and 120.00°. The asymmetric unit holds Ru at (0.0000, 0.0000, 0.0000), Pt at (0.0000, 0.6713, 0.5000) and Pt at (0.3333, 0.6667, 0.0000).

As for the formation energy from the elements: 0.062 eV/atom. As for the final energy: -39.107 eV per cell. Its density of states at the Fermi level is 1.7105 states/eV per atom. The calculation puts the total magnetization at 0.6 μB per formula unit.

***

# Ru2Pt

A geometry-optimized Ru2Pt structure (GGA-PBE, Alexandria).

The structure belongs to space group Pnma (No. 62); the cell edges are 5.447, 3.858 and 8.258 Å and the angles 90.00°, 90.00° and 90.00°. The asymmetric unit holds Ru at (0.119, 0.250, 0.080), Ru at (0.124, 0.250, 0.759) and Pt at (0.125, 0.250, 0.411).

As for the formation energy from the elements: 0.016 eV/atom. Its energy above the most stable polymorph in this dataset is 35.3 meV per atom. As for the final energy: -98.176 eV per cell. Its density of states at the Fermi level is 1.0949 states/eV per atom. The calculation puts the total magnetization at 0.0 μB per formula unit.

***

# Ru2Pt

A geometry-optimized Ru2Pt structure (GGA-PBE, Alexandria).

The structure belongs to space group Cm (No. 8); the cell edges are 10.037, 2.756 and 6.483 Å and the angles 90.00°, 104.33° and 90.00°. The asymmetric unit holds Ru at (0.000, 0.000, 0.000), Ru at (0.054, 0.000, 0.614), Ru at (0.219, 0.500, 0.947), Ru at (0.392, 0.000, 0.270), Pt at (0.164, 0.500, 0.329) and Pt at (0.336, 0.000, 0.673).

As for the formation energy from the elements: 0.055 eV/atom. Its energy above the most stable polymorph in this dataset is 74.0 meV per atom. As for the final energy: -97.711 eV per cell. Its density of states at the Fermi level is 1.1711 states/eV per atom. The calculation puts the total magnetization at 0.0 μB per formula unit.

***

# Ru5Pt4

A geometry-optimized Ru5Pt4 structure (GGA-PBE, Alexandria).

The structure belongs to space group I4/mmm (No. 139); the cell edges are 8.252, 8.252 and 3.870 Å and the angles 90.00°, 90.00° and 90.00°. The asymmetric unit holds Ru at (0.000, 0.000, 0.000), Ru at (0.161, 0.161, 0.500) and Pt at (0.000, 0.325, 0.000).

As for the formation energy from the elements: -0.027 eV/atom. Its energy above the most stable polymorph in this dataset is 0.0 meV per atom. As for the final energy: -141.565 eV per cell. Its density of states at the Fermi level is 0.8349 states/eV per atom. The calculation puts the total magnetization at 0.0 μB per formula unit.

***

# Ru2Pt

A geometry-optimized Ru2Pt structure (GGA-PBE, Alexandria).

The structure belongs to space group I4_1/amd (No. 141, origin choice 2); the cell edges are 3.860, 3.860 and 23.276 Å and the angles 90.00°, 90.00° and 90.00°. The asymmetric unit holds Ru at (0.000, 0.250, 0.124), Ru at (0.000, 0.250, 0.292) and Pt at (0.000, 0.250, 0.794).

As for the formation energy from the elements: 0.037 eV/atom. Its energy above the most stable polymorph in this dataset is 55.6 meV per atom. As for the final energy: -195.863 eV per cell. Its density of states at the Fermi level is 1.1550 states/eV per atom. The calculation puts the total magnetization at 0.0 μB per formula unit.

***

# Ru3Pt

A geometry-optimized Ru3Pt structure (GGA-PBE, Alexandria).

The structure belongs to space group P4/mmm (No. 123); the cell edges are 3.298, 3.298 and 5.458 Å and the angles 90.00°, 90.00° and 90.00°. The asymmetric unit holds Ru at (0.000, 0.000, 0.000), Ru at (0.500, 0.500, 0.243) and Pt at (0.000, 0.000, 0.500).

As for the formation energy from the elements: 0.369 eV/atom. As for the final energy: -32.393 eV per cell. Its density of states at the Fermi level is 1.2477 states/eV per atom. The calculation puts the total magnetization at 2.4 μB per formula unit.

***

# RuPt3

A geometry-optimized RuPt3 structure (GGA-PBE, Alexandria).

The structure belongs to space group Pnma (No. 62); the cell edges are 4.805, 9.093 and 5.586 Å and the angles 90.00°, 90.00° and 90.00°. The asymmetric unit holds Ru at (0.078, 0.250, 0.133), Pt at (0.082, 0.250, 0.623) and Pt at (0.245, 0.503, 0.876).

As for the formation energy from the elements: 0.044 eV/atom. As for the final energy: -108.882 eV per cell. Its density of states at the Fermi level is 1.5237 states/eV per atom. The calculation puts the total magnetization at 0.0 μB per formula unit.

***

# Ru3Pt

A geometry-optimized Ru3Pt structure (GGA-PBE, Alexandria).

The structure belongs to space group Pmmn (No. 59, origin choice 2); the cell edges are 5.443, 13.301 and 4.741 Å and the angles 90.00°, 90.00° and 90.00°. The asymmetric unit holds Ru at (0.002, 0.085, 0.168), Ru at (0.003, 0.250, 0.496), Ru at (0.250, 0.250, 0.998), Ru at (0.250, 0.583, 0.334), Pt at (0.250, 0.083, 0.667) and Pt at (0.250, 0.750, 0.008).

As for the formation energy from the elements: 0.050 eV/atom. As for the final energy: -202.020 eV per cell. Its density of states at the Fermi level is 1.2257 states/eV per atom. The calculation puts the total magnetization at 0.0 μB per formula unit.